1.
VASP calculation (PBE) on an optimized crystal structure of Rb2BHBr6.

extended XYZ file:
```
10
Lattice="-4.326 -4.485 4.824 -2.815 -3.959 -6.205 0.015 -7.310 -0.346" Properties=species:S:1:pos:R:3 pbc="T T T"
H -3.570 -4.222 -0.690
B 0.000 0.000 0.000
Br -1.363 -6.123 -0.479
Br -5.763 -9.631 -1.249
Br -2.017 -2.385 -0.390
Br -5.124 -6.059 -0.991
Br -3.899 -4.336 1.709
Br -3.242 -4.108 -3.090
Rb -3.940 -8.009 1.894
Rb -3.185 -7.746 -3.621
```

## Properties
Space-group type = I4/mmm (139)

2.
VASP calculation (PBE) on an optimized crystal structure of Re2BHBr.

extended XYZ file:
```
5
Lattice="4.635 0.000 0.000 0.000 3.994 0.000 0.000 0.000 4.635" Properties=species:S:1:pos:R:3 pbc="T T T"
Re 0.000 0.000 2.318
Re 2.318 0.000 0.000
B 0.000 1.997 0.000
Br 0.000 0.000 0.000
H 2.318 1.997 2.318
```

## Properties
Space-group type = P4/mmm (123)

3.
VASP calculation (PBE) on an optimized crystal structure of B2HSeBr.

extended XYZ file:
```
5
Lattice="4.795 0.000 0.000 0.000 3.419 0.000 0.000 0.000 4.795" Properties=species:S:1:pos:R:3 pbc="T T T"
H 0.000 0.000 0.000
B 0.000 0.000 2.398
B 2.398 0.000 0.000
Se 0.000 1.710 0.000
Br 2.398 1.710 2.398
```

## Properties
Space-group type = P4/mmm (123)

| no. | calculated total energy (eV per cell) | D(E_F) (states/eV per cell) |
| --- | --- | --- |
| 1 | -26.87 | 0.00 |
| 2 | -20.44 | 3.16 |
| 3 | -13.04 | 1.48 |